Entry 1:
! Ti3AlCu, optimized geometry, DFT GGA-PBE; values from VASP
&SYSTEM
  ibrav = 0, nat = 5, ntyp = 3
/
ATOMIC_SPECIES
Ti 47.87 Ti.upf
Al 26.98 Al.upf
Cu 63.55 Cu.upf
CELL_PARAMETERS angstrom
4.5751 0.0000 0.0000
0.0000 4.5751 0.0000
0.0000 0.0000 4.5751
ATOMIC_POSITIONS crystal
Ti 0.0000 0.0000 0.5000
Ti 0.0000 0.5000 0.0000
Ti 0.5000 0.0000 0.0000
Al 0.5000 0.5000 0.5000
Cu 0.0000 0.0000 0.0000
! Final energy = -5.838 eV/atom
! Relative energy among the computed polymorphs = 0.325 eV per atom
! E_form = 0.4669 eV per atom
! Total moment = 0.00 μB per formula unit

Entry 2:
! TiAl2Cu2, optimized geometry, DFT GGA-PBE; values from VASP
&SYSTEM
  ibrav = 0, nat = 5, ntyp = 3
/
ATOMIC_SPECIES
Ti 47.87 Ti.upf
Al 26.98 Al.upf
Cu 63.55 Cu.upf
CELL_PARAMETERS angstrom
-1.8106 1.8106 5.7315
1.8106 -1.8106 5.7315
1.8106 1.8106 -5.7315
ATOMIC_POSITIONS crystal
Ti 0.0000 0.0000 0.0000
Al 0.3938 0.3938 0.0000
Al 0.6062 0.6062 0.0000
Cu 0.2500 0.7500 0.5000
Cu 0.7500 0.2500 0.5000
! Final energy = -4.839 eV/atom
! Relative energy among the computed polymorphs = 0.098 eV per atom
! E_form = -0.1248 eV per atom
! Total moment = 0.00 μB per formula unit

Entry 3:
! Ti4Al2Cu, optimized geometry, DFT GGA-PBE; values from VASP
&SYSTEM
  ibrav = 0, nat = 14, ntyp = 3
/
ATOMIC_SPECIES
Ti 47.87 Ti.upf
Al 26.98 Al.upf
Cu 63.55 Cu.upf
CELL_PARAMETERS angstrom
4.4610 0.0000 0.0000
0.0000 5.4258 0.0000
-2.2251 0.0000 9.3347
ATOMIC_POSITIONS crystal
Ti 0.0664 0.2500 0.1322
Ti 0.2154 0.7500 0.4302
Ti 0.3578 0.5167 0.7152
Ti 0.3578 0.9833 0.7152
Ti 0.6422 0.0167 0.2848
Ti 0.6422 0.4833 0.2848
Ti 0.7846 0.2500 0.5698
Ti 0.9336 0.7500 0.8678
Al 0.2098 0.2500 0.4199
Al 0.4879 0.2500 0.9742
Al 0.5121 0.7500 0.0258
Al 0.7902 0.7500 0.5801
Cu 0.0782 0.7500 0.1588
Cu 0.9218 0.2500 0.8412
! Final energy = -6.336 eV/atom
! E_form = -0.1705 eV per atom
! Total moment = 0.00 μB per formula unit

Entry 4:
! Ti2AlCu2, optimized geometry, DFT GGA-PBE; values from VASP
&SYSTEM
  ibrav = 0, nat = 5, ntyp = 3
/
ATOMIC_SPECIES
Ti 47.87 Ti.upf
Al 26.98 Al.upf
Cu 63.55 Cu.upf
CELL_PARAMETERS angstrom
1.3913 -9.8500 0.0000
1.3913 9.8500 0.0000
0.0000 0.0000 2.7533
ATOMIC_POSITIONS crystal
Ti 0.1025 0.8975 0.0000
Ti 0.8975 0.1025 0.0000
Al 0.5000 0.5000 0.5000
Cu 0.3024 0.6976 0.5000
Cu 0.6976 0.3024 0.5000
! Final energy = -5.651 eV/atom
! Relative energy among the computed polymorphs = 0.089 eV per atom
! E_form = -0.1062 eV per atom
! Total moment = 0.00 μB per formula unit

Which of these has the highest E_form?
Ti3AlCu